# 1
Below is a relaxed structure of La3Zn3Ni2Pt, with properties calculated at the PBE level.

energy relative to the elements: -0.55 eV per atom
magnetization: 0.0 μB/f.u.
VASP energy: -0.166 Ha/atom

Lattice parameters (Å, degrees): 7.314 7.314 3.997 90.00 90.00 120.00
Fractional coordinates of all 9 atoms:
La1 0.000 0.580 0.000
Ni1 0.333 0.667 0.500
Zn1 0.761 0.761 0.500
La2 0.580 0.000 0.000
Pt1 0.000 0.000 0.000
La3 0.420 0.420 0.000
Ni2 0.667 0.333 0.500
Zn2 0.239 0.000 0.500
Zn3 0.000 0.239 0.500


# 2
Below is a relaxed structure of LaPuNi, with properties calculated at the PBE level.

energy relative to the elements: 0.51 eV per atom
magnetization: 5.1 μB/f.u.
ΔE to the lowest computed polymorph: 513 meV/atom
VASP energy: -0.283 Ha/atom

Lattice parameters (Å, degrees): 4.399 4.399 4.399 60.00 60.00 60.00
Fractional coordinates of all 3 atoms:
Pu1 0.750 0.750 0.750
Ni1 0.250 0.250 0.250
La1 0.000 0.000 0.000


# 3
Below is a relaxed structure of LaPuNi, with properties calculated at the PBE level.

energy relative to the elements: -0.01 eV per atom
magnetization: 6.4 μB/f.u.
ΔE to the lowest computed polymorph: 0 meV/atom
VASP energy: -0.302 Ha/atom

Lattice parameters (Å, degrees): 4.768 4.768 4.768 60.00 60.00 60.00
Fractional coordinates of all 3 atoms:
Ni1 0.000 0.000 0.000
La1 0.750 0.750 0.750
Pu1 0.250 0.250 0.250


# 4
Below is a relaxed structure of RbLaNiSe3, with properties calculated at the PBE level.

magnetization: 2.0 μB/f.u.
VASP energy: -0.178 Ha/atom

Lattice parameters (Å, degrees): 4.298 7.808 11.499 90.00 90.00 74.03
Fractional coordinates of all 12 atoms:
La1 0.000 0.000 0.000
Ni1 0.530 0.940 0.250
Ni2 0.470 0.060 0.750
Se1 0.376 0.249 0.919
Rb1 0.742 0.516 0.750
Se2 0.946 0.107 0.250
Rb2 0.258 0.484 0.250
Se3 0.376 0.249 0.581
Se4 0.054 0.893 0.750
Se5 0.624 0.751 0.419
Se6 0.624 0.751 0.081
La2 0.000 0.000 0.500


# 5
Below is a relaxed structure of RbLaNiTe3, with properties calculated at the PBE level.

magnetization: 0.1 μB/f.u.
ΔE to the lowest computed polymorph: 22 meV/atom
VASP energy: -0.162 Ha/atom

Lattice parameters (Å, degrees): 9.056 9.056 11.269 90.00 90.00 151.89
Fractional coordinates of all 12 atoms:
Te1 0.384 0.616 0.899
Te2 0.384 0.616 0.601
Ni1 0.507 0.493 0.250
Te3 0.079 0.921 0.750
Ni2 0.493 0.507 0.750
Te4 0.921 0.079 0.250
Rb1 0.743 0.257 0.750
La1 0.000 0.000 0.500
La2 0.000 0.000 0.000
Te5 0.616 0.384 0.399
Rb2 0.257 0.743 0.250
Te6 0.616 0.384 0.101


# 6
Below is a relaxed structure of RbLaNiTe3, with properties calculated at the PBE level.

magnetization: 0.1 μB/f.u.
ΔE to the lowest computed polymorph: 0 meV/atom
VASP energy: -0.162 Ha/atom

Lattice parameters (Å, degrees): 12.366 4.644 13.861 90.00 90.00 90.00
Fractional coordinates of all 24 atoms:
Ni1 0.241 0.000 0.294
Rb1 0.668 0.000 0.496
Te1 0.945 0.000 0.178
Te2 0.277 0.000 0.720
Te3 0.119 0.000 0.446
La1 0.988 0.500 0.334
La2 0.512 0.000 0.834
Te4 0.555 0.500 0.678
Te5 0.777 0.000 0.780
Rb2 0.332 0.500 0.504
Ni2 0.741 0.000 0.206
Te6 0.723 0.500 0.280
Te7 0.881 0.500 0.554
La3 0.488 0.500 0.166
La4 0.012 0.000 0.666
Rb3 0.168 0.000 0.004
Te8 0.619 0.000 0.054
Rb4 0.832 0.500 0.996
Te9 0.223 0.500 0.220
Te10 0.445 0.000 0.322
Ni3 0.759 0.500 0.706
Te11 0.055 0.500 0.822
Te12 0.381 0.500 0.946
Ni4 0.259 0.500 0.794